# 1
# CuHgMo2 | Alexandria via LeMat-Bulk | PBE | relaxed
data_CuHgMo2
_chemical_formula_sum 'Cu1 Hg1 Mo2'
_cell_length_a 2.7135
_cell_length_b 4.1414
_cell_length_c 5.8289
_cell_angle_alpha 90.00
_cell_angle_beta 90.00
_cell_angle_gamma 90.00
_space_group_name_H-M_alt 'P m m 2'
_space_group_IT_number 25
loop_
_space_group_symop_operation_xyz
'x,y,z'
'-x,-y,z'
'-x,y,z'
'x,-y,z'
loop_
_atom_site_label
_atom_site_type_symbol
_atom_site_fract_x
_atom_site_fract_y
_atom_site_fract_z
Cu1 Cu 0.0000 0.0000 0.0000
Hg1 Hg 0.5000 0.5000 0.2483
Mo1 Mo 0.0000 0.0000 0.5346
Mo2 Mo 0.5000 0.5000 0.7607
# Formation energy, meV per atom: 453.2
# Fermi-level density of states, states/eV per cell: 3.285
# Magnetization, μB per formula unit: 0.00

---

# 2
# BaSbAu5 | Alexandria via LeMat-Bulk | PBE | relaxed
data_BaSbAu5
_chemical_formula_sum 'Ba4 Sb4 Au20'
_cell_length_a 10.2196
_cell_length_b 5.6842
_cell_length_c 11.2767
_cell_angle_alpha 90.00
_cell_angle_beta 90.00
_cell_angle_gamma 90.00
_space_group_name_H-M_alt 'P n m a'
_space_group_IT_number 62
loop_
_space_group_symop_operation_xyz
'x,y,z'
'-x,-y,-z'
'-x+1/2,-y,z+1/2'
'x+1/2,y,-z+1/2'
'x+1/2,-y+1/2,-z+1/2'
'-x+1/2,y+1/2,z+1/2'
'-x,y+1/2,-z'
'x,-y+1/2,z'
loop_
_atom_site_label
_atom_site_type_symbol
_atom_site_fract_x
_atom_site_fract_y
_atom_site_fract_z
Ba1 Ba 0.2470 0.2500 0.0518
Sb1 Sb 0.1297 0.7500 0.8434
Au1 Au 0.0632 0.5007 0.2921
Au2 Au 0.0664 0.7500 0.0736
Au3 Au 0.0678 0.2500 0.5114
Au4 Au 0.1942 0.2500 0.7474
# Raw formation energy, kJ per mole of atoms: -36.1
# Fermi-level density of states, states/eV per cell: 8.437
# Magnetization, μB per formula unit: 0.00

---

# 3
# Sr2GeAs3Pt4 | Alexandria via LeMat-Bulk | PBE | relaxed
data_Sr2GeAs3Pt4
_chemical_formula_sum 'Sr2 Ge1 As3 Pt4'
_cell_length_a 4.4597
_cell_length_b 4.4597
_cell_length_c 10.2574
_cell_angle_alpha 90.00
_cell_angle_beta 90.00
_cell_angle_gamma 90.00
_space_group_name_H-M_alt 'P -4 m 2'
_space_group_IT_number 115
loop_
_space_group_symop_operation_xyz
'x,y,z'
'y,-x,-z'
'-x,-y,z'
'-y,x,-z'
'-x,y,z'
'-y,-x,-z'
'x,-y,z'
'y,x,-z'
loop_
_atom_site_label
_atom_site_type_symbol
_atom_site_fract_x
_atom_site_fract_y
_atom_site_fract_z
Sr1 Sr 0.0000 0.5000 0.2483
Ge1 Ge 0.0000 0.0000 0.5000
As1 As 0.0000 0.5000 0.8698
As2 As 0.5000 0.5000 0.5000
Pt1 Pt 0.0000 0.0000 0.0000
Pt2 Pt 0.0000 0.5000 0.6234
Pt3 Pt 0.5000 0.5000 0.0000
# Formation energy, meV per atom: -771.9
# Fermi-level density of states, states/eV per cell: 7.518
# Magnetization, μB per formula unit: 0.00

---

# 4
# PrSn3Ir3 | Alexandria via LeMat-Bulk | PBE | relaxed
data_PrSn3Ir3
_chemical_formula_sum 'Pr2 Sn6 Ir6'
_cell_length_a 7.2302
_cell_length_b 7.2302
_cell_length_c 7.2302
_cell_angle_alpha 90.00
_cell_angle_beta 90.00
_cell_angle_gamma 90.00
_space_group_name_H-M_alt 'P m -3 n'
_space_group_IT_number 223
_space_group_name_Hall '-P 4n 2 3'
loop_
_atom_site_label
_atom_site_type_symbol
_atom_site_fract_x
_atom_site_fract_y
_atom_site_fract_z
Pr1 Pr 0.0000 0.0000 0.0000
Sn1 Sn 0.0000 0.2500 0.5000
Ir1 Ir 0.0000 0.5000 0.2500
# Formation energy, meV per atom: 157.8
# Energy relative to the lowest polymorph listed for this composition, meV per atom: 431.6
# Fermi-level density of states, states/eV per cell: 14.535
# Magnetization, μB per formula unit: 0.00

---

# 5
# PrTmSb | Alexandria via LeMat-Bulk | PBE | relaxed
data_PrTmSb
_chemical_formula_sum 'Pr2 Tm2 Sb2'
_cell_length_a 4.0156
_cell_length_b 4.0156
_cell_length_c 10.9696
_cell_angle_alpha 90.00
_cell_angle_beta 90.00
_cell_angle_gamma 90.00
_space_group_name_H-M_alt 'I 4 m m'
_space_group_IT_number 107
_space_group_name_Hall 'I 4 -2'
loop_
_atom_site_label
_atom_site_type_symbol
_atom_site_fract_x
_atom_site_fract_y
_atom_site_fract_z
Pr1 Pr 0.0000 0.0000 0.0000
Tm1 Tm 0.0000 0.0000 0.3025
Sb1 Sb 0.0000 0.0000 0.6698
# Raw formation energy, kJ per mole of atoms: -59.7
# Fermi-level density of states, states/eV per cell: 4.793
# Magnetization, μB per formula unit: 0.91

---

# 6
# Sm2Y2Ho4Er | Alexandria via LeMat-Bulk | PBE | relaxed
data_Sm2Y2Ho4Er
_chemical_formula_sum 'Sm4 Y4 Ho8 Er2'
_cell_length_a 18.6240
_cell_length_b 3.5865
_cell_length_c 9.5336
_cell_angle_alpha 90.00
_cell_angle_beta 115.73
_cell_angle_gamma 90.00
_space_group_name_H-M_alt 'C 1 2/m 1'
_space_group_IT_number 12
loop_
_space_group_symop_operation_xyz
'x,y,z'
'-x,-y,-z'
'-x,y,-z'
'x,-y,z'
'x+1/2,y+1/2,z'
'-x+1/2,-y+1/2,-z'
'-x+1/2,y+1/2,-z'
'x+1/2,-y+1/2,z'
loop_
_atom_site_label
_atom_site_type_symbol
_atom_site_fract_x
_atom_site_fract_y
_atom_site_fract_z
Sm1 Sm 0.1656 0.0000 0.0008
Y1 Y 0.1470 0.5000 0.6637
Ho1 Ho 0.0190 0.0000 0.3333
Ho2 Ho 0.1850 0.5000 0.3353
Er1 Er 0.0000 0.5000 0.0000
# Formation energy, meV per atom: -1.8
# Fermi-level density of states, states/eV per cell: 24.245
# Magnetization, μB per formula unit: 0.00

---

# 7
# KLi2Zn | Alexandria via LeMat-Bulk | PBE | relaxed
data_KLi2Zn
_chemical_formula_sum 'K3 Li6 Zn3'
_cell_length_a 4.7550
_cell_length_b 4.7550
_cell_length_c 18.6732
_cell_angle_alpha 90.00
_cell_angle_beta 90.00
_cell_angle_gamma 120.00
_space_group_name_H-M_alt 'R 3 m'
_space_group_IT_number 160
_space_group_name_Hall 'R 3 -2"'
loop_
_atom_site_label
_atom_site_type_symbol
_atom_site_fract_x
_atom_site_fract_y
_atom_site_fract_z
K1 K 0.0000 0.0000 0.0000
Li1 Li 0.0000 0.0000 0.1863
Li2 Li 0.0000 0.0000 0.4805
Zn1 Zn 0.0000 0.0000 0.8133
# Formation energy, meV per atom: 72.4
# Fermi-level density of states, states/eV per cell: 11.857
# Magnetization, μB per formula unit: 0.01

---

# 8
# Sc2TaAu | Alexandria via LeMat-Bulk | PBE | relaxed
data_Sc2TaAu
_chemical_formula_sum 'Sc2 Ta1 Au1'
_cell_length_a 3.2232
_cell_length_b 4.1504
_cell_length_c 6.0013
_cell_angle_alpha 90.00
_cell_angle_beta 90.00
_cell_angle_gamma 90.00
_space_group_name_H-M_alt 'P m m 2'
_space_group_IT_number 25
loop_
_space_group_symop_operation_xyz
'x,y,z'
'-x,-y,z'
'-x,y,z'
'x,-y,z'
loop_
_atom_site_label
_atom_site_type_symbol
_atom_site_fract_x
_atom_site_fract_y
_atom_site_fract_z
Sc1 Sc 0.0000 0.0000 0.0000
Sc2 Sc 0.5000 0.5000 0.2863
Ta1 Ta 0.0000 0.0000 0.5084
Au1 Au 0.5000 0.5000 0.7736
# Formation energy, meV per atom: -71.8
# Energy relative to the lowest polymorph listed for this composition, meV per atom: 226.4
# Fermi-level density of states, states/eV per cell: 4.917
# Magnetization, μB per formula unit: 0.00

---

# 9
# Nb3Ga2Ru3N | Alexandria via LeMat-Bulk | PBE | relaxed
data_Nb3Ga2Ru3N
_chemical_formula_sum 'Nb3 Ga2 Ru3 N1'
_cell_length_a 7.1494
_cell_length_b 7.1494
_cell_length_c 2.9145
_cell_angle_alpha 90.00
_cell_angle_beta 90.00
_cell_angle_gamma 120.00
_space_group_name_H-M_alt 'P -6 2 m'
_space_group_IT_number 189
_space_group_name_Hall 'P -6 -2'
loop_
_atom_site_label
_atom_site_type_symbol
_atom_site_fract_x
_atom_site_fract_y
_atom_site_fract_z
Nb1 Nb 0.0000 0.7642 0.0000
Ga1 Ga 0.3333 0.6667 0.0000
Ru1 Ru 0.0000 0.4077 0.5000
N1 N 0.0000 0.0000 0.5000
# Raw formation energy, kJ per mole of atoms: -35.8
# Fermi-level density of states, states/eV per cell: 7.591
# Magnetization, μB per formula unit: 0.00

---

# 10
# Tb4HoTm2Sc | Alexandria via LeMat-Bulk | PBE | relaxed
data_Tb4HoTm2Sc
_chemical_formula_sum 'Tb4 Ho1 Tm2 Sc1'
_cell_length_a 4.9624
_cell_length_b 4.9624
_cell_length_c 9.8457
_cell_angle_alpha 90.00
_cell_angle_beta 90.00
_cell_angle_gamma 90.00
_space_group_name_H-M_alt 'P 4/m m m'
_space_group_IT_number 123
_space_group_name_Hall '-P 4 2'
loop_
_atom_site_label
_atom_site_type_symbol
_atom_site_fract_x
_atom_site_fract_y
_atom_site_fract_z
Tb1 Tb 0.0000 0.5000 0.2452
Ho1 Ho 0.0000 0.0000 0.5000
Tm1 Tm 0.0000 0.0000 0.0000
Tm2 Tm 0.5000 0.5000 0.5000
Sc1 Sc 0.5000 0.5000 0.0000
# Formation energy, meV per atom: 31.3
# Fermi-level density of states, states/eV per cell: 11.999
# Magnetization, μB per formula unit: 0.00

---

# 11
# Dy4Cd2Pb | Alexandria via LeMat-Bulk | PBE | relaxed
data_Dy4Cd2Pb
_chemical_formula_sum 'Dy12 Cd6 Pb3'
_cell_length_a 5.2316
_cell_length_b 5.2316
_cell_length_c 25.8079
_cell_angle_alpha 90.00
_cell_angle_beta 90.00
_cell_angle_gamma 120.00
_space_group_name_H-M_alt 'R -3 m'
_space_group_IT_number 166
_space_group_name_Hall '-R 3 2"'
loop_
_atom_site_label
_atom_site_type_symbol
_atom_site_fract_x
_atom_site_fract_y
_atom_site_fract_z
Dy1 Dy 0.0000 0.0000 0.1169
Dy2 Dy 0.0000 0.0000 0.3700
Cd1 Cd 0.0000 0.0000 0.2509
Pb1 Pb 0.0000 0.0000 0.5000
# Formation energy, meV per atom: -172.7
# Fermi-level density of states, states/eV per cell: 28.299
# Magnetization, μB per formula unit: 0.00

---

# 12
# YMo2Os | Alexandria via LeMat-Bulk | PBE | relaxed
data_YMo2Os
_chemical_formula_sum 'Y4 Mo8 Os4'
_cell_length_a 6.5264
_cell_length_b 6.5264
_cell_length_c 6.5264
_cell_angle_alpha 90.00
_cell_angle_beta 90.00
_cell_angle_gamma 90.00
_space_group_name_H-M_alt 'F -4 3 m'
_space_group_IT_number 216
_space_group_name_Hall 'F -4 2 3'
loop_
_atom_site_label
_atom_site_type_symbol
_atom_site_fract_x
_atom_site_fract_y
_atom_site_fract_z
Y1 Y 0.0000 0.0000 0.0000
Mo1 Mo 0.0000 0.0000 0.5000
Mo2 Mo 0.2500 0.2500 0.7500
Os1 Os 0.2500 0.2500 0.2500
# Formation energy, meV per atom: 211.1
# Energy relative to the lowest polymorph listed for this composition, meV per atom: 28.8
# Fermi-level density of states, states/eV per cell: 13.325
# Magnetization, μB per formula unit: 0.00